Here is crystalline Tm3Ni2Ge3 at its relaxed geometry from Alexandria via LeMat-Bulk. Energies are from PBE-GGA.

energy relative to the elements: -0.8011 eV per atom
relative energy among the computed polymorphs: 0.028 eV/atom
total energy: -5.655 eV/atom

CIF file:
```
data_Tm3Ni2Ge3
_cell_length_a 7.6920
_cell_length_b 13.9911
_cell_length_c 5.5493
_cell_angle_alpha 90.00
_cell_angle_beta 90.00
_cell_angle_gamma 90.00
_symmetry_space_group_name_H-M 'P n m a'
_symmetry_Int_Tables_number 62
_symmetry_space_group_name_Hall '-P 2ac 2n'
loop_
_atom_site_label
_atom_site_fract_x
_atom_site_fract_y
_atom_site_fract_z
Tm1 0.0367 0.1097 0.1300
Tm2 0.1797 0.2500 0.6277
Ni1 0.0932 0.6027 0.3801
Ge1 0.1753 0.7500 0.6080
Ge2 0.1930 0.0404 0.6147
```

Here is crystalline Tm2NiGe3 at its relaxed geometry from Alexandria via LeMat-Bulk. Energies are from PBE-GGA.

energy relative to the elements: -0.6631 eV per atom
relative energy among the computed polymorphs: 0.003 eV/atom
total energy: -5.426 eV/atom

CIF file:
```
data_Tm2NiGe3
_cell_length_a 10.3556
_cell_length_b 4.1846
_cell_length_c 6.8128
_cell_angle_alpha 90.00
_cell_angle_beta 130.60
_cell_angle_gamma 90.00
_symmetry_space_group_name_H-M 'C 1 m 1'
_symmetry_Int_Tables_number 8
_symmetry_space_group_name_Hall 'C -2y'
loop_
_atom_site_label
_atom_site_fract_x
_atom_site_fract_y
_atom_site_fract_z
Tm1 0.0000 0.0000 0.0000
Tm2 0.1167 0.0000 0.6010
Ni1 0.3826 0.0000 0.5522
Ge1 0.1747 0.5000 0.9401
Ge2 0.2439 0.5000 0.4256
Ge3 0.3898 0.0000 0.1950
```

Here is crystalline TmNiGe2 at its relaxed geometry from Alexandria via LeMat-Bulk. Energies are from PBE-GGA.

energy relative to the elements: -0.6827 eV per atom
total energy: -5.555 eV/atom

CIF file:
```
data_TmNiGe2
_cell_length_a 4.1395
_cell_length_b 8.4875
_cell_length_c 15.8905
_cell_angle_alpha 90.00
_cell_angle_beta 90.00
_cell_angle_gamma 90.00
_symmetry_space_group_name_H-M 'I m m m'
_symmetry_Int_Tables_number 71
_symmetry_space_group_name_Hall '-I 2 2'
loop_
_atom_site_label
_atom_site_fract_x
_atom_site_fract_y
_atom_site_fract_z
Tm1 0.0000 0.0000 0.2038
Tm2 0.0000 0.2395 0.0000
Ni1 0.0000 0.2512 0.3525
Ge1 0.0000 0.0000 0.4203
Ge2 0.0000 0.3424 0.1964
Ge3 0.0000 0.5000 0.4229
```

Here is crystalline TmNi2Ge at its relaxed geometry from Alexandria via LeMat-Bulk. Energies are from PBE-GGA.

energy relative to the elements: -0.6473 eV per atom
total energy: -5.810 eV/atom

CIF file:
```
data_TmNi2Ge
_cell_length_a 7.0260
_cell_length_b 6.5266
_cell_length_c 5.4541
_cell_angle_alpha 90.00
_cell_angle_beta 90.00
_cell_angle_gamma 90.00
_symmetry_space_group_name_H-M 'P n m a'
_symmetry_Int_Tables_number 62
_symmetry_space_group_name_Hall '-P 2ac 2n'
loop_
_atom_site_label
_atom_site_fract_x
_atom_site_fract_y
_atom_site_fract_z
Tm1 0.0282 0.2500 0.1532
Ni1 0.1764 0.0565 0.5815
Ge1 0.1230 0.7500 0.3481
```

Here is crystalline TmNiGe2 at its relaxed geometry from Alexandria via LeMat-Bulk. Energies are from PBE-GGA.

energy relative to the elements: -0.6428 eV per atom
total energy: -5.515 eV/atom

CIF file:
```
data_TmNiGe2
_cell_length_a 6.7707
_cell_length_b 4.0918
_cell_length_c 10.1983
_cell_angle_alpha 90.00
_cell_angle_beta 90.00
_cell_angle_gamma 90.00
_symmetry_space_group_name_H-M 'P n m a'
_symmetry_Int_Tables_number 62
_symmetry_space_group_name_Hall '-P 2ac 2n'
loop_
_atom_site_label
_atom_site_fract_x
_atom_site_fract_y
_atom_site_fract_z
Tm1 0.1832 0.2500 0.1353
Ni1 0.0091 0.7500 0.3599
Ge1 0.1344 0.2500 0.8432
Ge2 0.1585 0.2500 0.4361
```

Here is crystalline TmNi12Ge6 at its relaxed geometry from Alexandria via LeMat-Bulk. Energies are from PBE-GGA.

energy relative to the elements: -0.2502 eV per atom
total energy: -5.595 eV/atom

CIF file:
```
data_TmNi12Ge6
_cell_length_a 10.6366
_cell_length_b 10.6366
_cell_length_c 7.9324
_cell_angle_alpha 90.00
_cell_angle_beta 90.00
_cell_angle_gamma 120.00
_symmetry_space_group_name_H-M 'R -3 m'
_symmetry_Int_Tables_number 166
_symmetry_space_group_name_Hall '-R 3 2"'
loop_
_atom_site_label
_atom_site_fract_x
_atom_site_fract_y
_atom_site_fract_z
Tm1 0.0000 0.0000 0.0000
Ni1 0.0000 0.3821 0.5000
Ni2 0.0841 0.1682 0.3226
Ge1 0.0376 0.5188 0.2567
```